# 1
Density functional theory data (GGA-PBE) for crystalline Y3W at its relaxed geometry.

The structure in CIF format:
```
data_Y3W
_chemical_formula_sum 'Y3 W1'
_space_group_name_H-M_alt 'P 1'
_space_group_IT_number 1
_cell_length_a 5.515
_cell_length_b 5.515
_cell_length_c 5.515
_cell_angle_alpha 90.00
_cell_angle_beta 90.00
_cell_angle_gamma 90.00
loop_
_space_group_symop_operation_xyz
'x,y,z'
loop_
_atom_site_label
_atom_site_type_symbol
_atom_site_fract_x
_atom_site_fract_y
_atom_site_fract_z
Y1 Y 0.000 0.000 0.500
Y2 Y 0.000 0.500 0.000
Y3 Y 0.500 0.000 0.000
W1 W 0.000 0.000 0.000
```

Calculated values
ΔE_f = 961 meV/atom
VASP energy = -7.13 eV/atom
N(E_F) = 4.895 states/eV per cell
symmetry = Pm-3m, No. 221

---

# 2
Density functional theory data (GGA-PBE) for crystalline Y7W at its relaxed geometry.

The structure in CIF format:
```
data_Y7W
_chemical_formula_sum 'Y7 W1'
_space_group_name_H-M_alt 'P 1'
_space_group_IT_number 1
_cell_length_a 6.861
_cell_length_b 6.861
_cell_length_c 6.861
_cell_angle_alpha 60.00
_cell_angle_beta 60.00
_cell_angle_gamma 60.00
loop_
_space_group_symop_operation_xyz
'x,y,z'
loop_
_atom_site_label
_atom_site_type_symbol
_atom_site_fract_x
_atom_site_fract_y
_atom_site_fract_z
Y1 Y 0.000 0.000 0.000
Y2 Y 0.000 0.000 0.500
Y3 Y 0.000 0.500 0.000
Y4 Y 0.000 0.500 0.500
Y5 Y 0.500 0.000 0.000
Y6 Y 0.500 0.000 0.500
Y7 Y 0.500 0.500 0.000
W1 W 0.500 0.500 0.500
```

Calculated values
ΔE_f = 316 meV/atom
VASP energy = -6.96 eV/atom
N(E_F) = 11.656 states/eV per cell
symmetry = Fm-3m, No. 225

---

# 3
Density functional theory data (GGA-PBE) for crystalline Y4W3 at its relaxed geometry.

The structure in CIF format:
```
data_Y4W3
_chemical_formula_sum 'Y4 W3'
_space_group_name_H-M_alt 'P 1'
_space_group_IT_number 1
_cell_length_a 5.464
_cell_length_b 5.464
_cell_length_c 6.280
_cell_angle_alpha 90.00
_cell_angle_beta 90.00
_cell_angle_gamma 120.00
loop_
_space_group_symop_operation_xyz
'x,y,z'
loop_
_atom_site_label
_atom_site_type_symbol
_atom_site_fract_x
_atom_site_fract_y
_atom_site_fract_z
Y1 Y 0.000 0.000 0.249
Y2 Y 0.000 0.000 0.751
Y3 Y 0.333 0.667 0.500
Y4 Y 0.667 0.333 0.500
W1 W 0.000 0.500 0.000
W2 W 0.500 0.000 0.000
W3 W 0.500 0.500 0.000
```

Calculated values
ΔE_f = 379 meV/atom
VASP energy = -8.87 eV/atom
N(E_F) = 9.060 states/eV per cell
symmetry = P6/mmm, No. 191

---

# 4
Density functional theory data (GGA-PBE) for crystalline Y3W2 at its relaxed geometry.

The structure in CIF format:
```
data_Y3W2
_chemical_formula_sum 'Y9 W6'
_space_group_name_H-M_alt 'P 1'
_space_group_IT_number 1
_cell_length_a 3.187
_cell_length_b 3.187
_cell_length_c 39.615
_cell_angle_alpha 90.00
_cell_angle_beta 90.00
_cell_angle_gamma 120.00
loop_
_space_group_symop_operation_xyz
'x,y,z'
loop_
_atom_site_label
_atom_site_type_symbol
_atom_site_fract_x
_atom_site_fract_y
_atom_site_fract_z
Y1 Y 0.000 0.000 0.000
Y2 Y 0.000 0.000 0.208
Y3 Y 0.000 0.000 0.792
Y4 Y 0.333 0.667 0.459
Y5 Y 0.333 0.667 0.667
Y6 Y 0.333 0.667 0.874
Y7 Y 0.667 0.333 0.126
Y8 Y 0.667 0.333 0.333
Y9 Y 0.667 0.333 0.541
W1 W 0.000 0.000 0.397
W2 W 0.000 0.000 0.603
W3 W 0.333 0.667 0.064
W4 W 0.333 0.667 0.270
W5 W 0.667 0.333 0.730
W6 W 0.667 0.333 0.936
```

Calculated values
ΔE_f = 785 meV/atom
VASP energy = -8.27 eV/atom
N(E_F) = 21.248 states/eV per cell
symmetry = R-3m, No. 166

---

# 5
Density functional theory data (GGA-PBE) for crystalline Y3W at its relaxed geometry.

The structure in CIF format:
```
data_Y3W
_chemical_formula_sum 'Y3 W1'
_space_group_name_H-M_alt 'P 1'
_space_group_IT_number 1
_cell_length_a 3.315
_cell_length_b 5.250
_cell_length_c 5.941
_cell_angle_alpha 90.00
_cell_angle_beta 90.00
_cell_angle_gamma 90.00
loop_
_space_group_symop_operation_xyz
'x,y,z'
loop_
_atom_site_label
_atom_site_type_symbol
_atom_site_fract_x
_atom_site_fract_y
_atom_site_fract_z
Y1 Y 0.000 0.000 0.000
Y2 Y 0.000 0.500 0.328
Y3 Y 0.500 0.500 0.790
W1 W 0.500 0.000 0.504
```

Calculated values
ΔE_f = 509 meV/atom
VASP energy = -7.58 eV/atom
N(E_F) = 4.698 states/eV per cell
symmetry = Pmm2, No. 25

---

# 6
Density functional theory data (GGA-PBE) for crystalline YW2 at its relaxed geometry.

The structure in CIF format:
```
data_YW2
_chemical_formula_sum 'Y3 W6'
_space_group_name_H-M_alt 'P 1'
_space_group_IT_number 1
_cell_length_a 7.084
_cell_length_b 7.084
_cell_length_c 4.452
_cell_angle_alpha 90.00
_cell_angle_beta 90.00
_cell_angle_gamma 120.00
loop_
_space_group_symop_operation_xyz
'x,y,z'
loop_
_atom_site_label
_atom_site_type_symbol
_atom_site_fract_x
_atom_site_fract_y
_atom_site_fract_z
Y1 Y 0.000 0.000 0.000
Y2 Y 0.333 0.667 0.500
Y3 Y 0.667 0.333 0.500
W1 W 0.000 0.231 0.500
W2 W 0.000 0.456 0.000
W3 W 0.231 0.000 0.500
W4 W 0.456 0.000 0.000
W5 W 0.544 0.544 0.000
W6 W 0.769 0.769 0.500
```

Calculated values
ΔE_f = 1287 meV/atom
VASP energy = -9.50 eV/atom
N(E_F) = 10.559 states/eV per cell
symmetry = P-62m, No. 189

---

# 7
Density functional theory data (GGA-PBE) for crystalline Y3W at its relaxed geometry.

The structure in CIF format:
```
data_Y3W
_chemical_formula_sum 'Y6 W2'
_space_group_name_H-M_alt 'P 1'
_space_group_IT_number 1
_cell_length_a 6.737
_cell_length_b 6.737
_cell_length_c 5.263
_cell_angle_alpha 90.00
_cell_angle_beta 90.00
_cell_angle_gamma 120.00
loop_
_space_group_symop_operation_xyz
'x,y,z'
loop_
_atom_site_label
_atom_site_type_symbol
_atom_site_fract_x
_atom_site_fract_y
_atom_site_fract_z
Y1 Y 0.173 0.346 0.250
Y2 Y 0.173 0.827 0.250
Y3 Y 0.346 0.173 0.750
Y4 Y 0.654 0.827 0.250
Y5 Y 0.827 0.173 0.750
Y6 Y 0.827 0.654 0.750
W1 W 0.333 0.667 0.750
W2 W 0.667 0.333 0.250
```

Calculated values
ΔE_f = 421 meV/atom
VASP energy = -7.67 eV/atom
N(E_F) = 6.824 states/eV per cell
symmetry = P6_3/mmc, No. 194

---

# 8
Density functional theory data (GGA-PBE) for crystalline Y2W3 at its relaxed geometry.

The structure in CIF format:
```
data_Y2W3
_chemical_formula_sum 'Y4 W6'
_space_group_name_H-M_alt 'P 1'
_space_group_IT_number 1
_cell_length_a 3.215
_cell_length_b 3.215
_cell_length_c 21.164
_cell_angle_alpha 90.00
_cell_angle_beta 90.00
_cell_angle_gamma 90.00
loop_
_space_group_symop_operation_xyz
'x,y,z'
loop_
_atom_site_label
_atom_site_type_symbol
_atom_site_fract_x
_atom_site_fract_y
_atom_site_fract_z
Y1 Y 0.000 0.000 0.171
Y2 Y 0.000 0.000 0.829
Y3 Y 0.500 0.500 0.329
Y4 Y 0.500 0.500 0.671
W1 W 0.000 0.000 0.000
W2 W 0.000 0.000 0.428
W3 W 0.000 0.000 0.572
W4 W 0.500 0.500 0.072
W5 W 0.500 0.500 0.500
W6 W 0.500 0.500 0.928
```

Calculated values
ΔE_f = 268 meV/atom
VASP energy = -10.09 eV/atom
N(E_F) = 8.774 states/eV per cell
symmetry = I4/mmm, No. 139

---

# 9
Density functional theory data (GGA-PBE) for crystalline Y3W at its relaxed geometry.

The structure in CIF format:
```
data_Y3W
_chemical_formula_sum 'Y3 W1'
_space_group_name_H-M_alt 'P 1'
_space_group_IT_number 1
_cell_length_a 3.413
_cell_length_b 3.413
_cell_length_c 9.453
_cell_angle_alpha 90.00
_cell_angle_beta 90.00
_cell_angle_gamma 90.00
loop_
_space_group_symop_operation_xyz
'x,y,z'
loop_
_atom_site_label
_atom_site_type_symbol
_atom_site_fract_x
_atom_site_fract_y
_atom_site_fract_z
Y1 Y 0.000 0.000 0.000
Y2 Y 0.500 0.500 0.307
Y3 Y 0.500 0.500 0.693
W1 W 0.000 0.000 0.500
```

Calculated values
ΔE_f = 421 meV/atom
VASP energy = -7.67 eV/atom
N(E_F) = 6.734 states/eV per cell
symmetry = P4/mmm, No. 123

---

# 10
Density functional theory data (GGA-PBE) for crystalline YW2 at its relaxed geometry.

The structure in CIF format:
```
data_YW2
_chemical_formula_sum 'Y4 W8'
_space_group_name_H-M_alt 'P 1'
_space_group_IT_number 1
_cell_length_a 10.428
_cell_length_b 3.212
_cell_length_c 7.670
_cell_angle_alpha 90.00
_cell_angle_beta 110.87
_cell_angle_gamma 90.00
loop_
_space_group_symop_operation_xyz
'x,y,z'
loop_
_atom_site_label
_atom_site_type_symbol
_atom_site_fract_x
_atom_site_fract_y
_atom_site_fract_z
Y1 Y 0.155 0.000 0.100
Y2 Y 0.345 0.500 0.900
Y3 Y 0.655 0.500 0.100
Y4 Y 0.845 0.000 0.900
W1 W 0.003 0.500 0.696
W2 W 0.164 0.000 0.557
W3 W 0.336 0.500 0.443
W4 W 0.497 0.000 0.304
W5 W 0.503 0.000 0.696
W6 W 0.664 0.500 0.557
W7 W 0.836 0.000 0.443
W8 W 0.997 0.500 0.304
```

Calculated values
ΔE_f = 429 meV/atom
VASP energy = -10.36 eV/atom
N(E_F) = 14.868 states/eV per cell
symmetry = C2/m, No. 12

---

# 11
Density functional theory data (GGA-PBE) for crystalline YZn2W at its relaxed geometry.

The structure in CIF format:
```
data_YZn2W
_chemical_formula_sum 'Y4 Zn8 W4'
_space_group_name_H-M_alt 'P 1'
_space_group_IT_number 1
_cell_length_a 6.626
_cell_length_b 6.626
_cell_length_c 6.626
_cell_angle_alpha 90.00
_cell_angle_beta 90.00
_cell_angle_gamma 90.00
loop_
_space_group_symop_operation_xyz
'x,y,z'
loop_
_atom_site_label
_atom_site_type_symbol
_atom_site_fract_x
_atom_site_fract_y
_atom_site_fract_z
Y1 Y 0.000 0.000 0.000
Y2 Y 0.000 0.500 0.500
Y3 Y 0.500 0.000 0.500
Y4 Y 0.500 0.500 0.000
Zn1 Zn 0.250 0.250 0.250
Zn2 Zn 0.250 0.250 0.750
Zn3 Zn 0.250 0.750 0.250
Zn4 Zn 0.250 0.750 0.750
Zn5 Zn 0.750 0.250 0.250
Zn6 Zn 0.750 0.250 0.750
Zn7 Zn 0.750 0.750 0.250
Zn8 Zn 0.750 0.750 0.750
W1 W 0.000 0.000 0.500
W2 W 0.000 0.500 0.000
W3 W 0.500 0.000 0.000
W4 W 0.500 0.500 0.500
```

Calculated values
ΔE_f = 272 meV/atom
VASP energy = -5.22 eV/atom
N(E_F) = 10.264 states/eV per cell
symmetry = Fm-3m, No. 225

---

# 12
Density functional theory data (GGA-PBE) for crystalline Y2ZnW at its relaxed geometry.

The structure in CIF format:
```
data_Y2ZnW
_chemical_formula_sum 'Y2 Zn1 W1'
_space_group_name_H-M_alt 'P 1'
_space_group_IT_number 1
_cell_length_a 3.391
_cell_length_b 3.535
_cell_length_c 7.855
_cell_angle_alpha 90.00
_cell_angle_beta 90.00
_cell_angle_gamma 90.00
loop_
_space_group_symop_operation_xyz
'x,y,z'
loop_
_atom_site_label
_atom_site_type_symbol
_atom_site_fract_x
_atom_site_fract_y
_atom_site_fract_z
Y1 Y 0.000 0.000 0.000
Y2 Y 0.500 0.500 0.386
Zn1 Zn 0.000 0.000 0.618
W1 W 0.500 0.500 0.756
```

Calculated values
ΔE_f = 276 meV/atom
VASP energy = -6.51 eV/atom
N(E_F) = 3.191 states/eV per cell
symmetry = Pmm2, No. 25

---

# 13
Density functional theory data (GGA-PBE) for crystalline Y2ZnW at its relaxed geometry.

The structure in CIF format:
```
data_Y2ZnW
_chemical_formula_sum 'Y8 Zn4 W4'
_space_group_name_H-M_alt 'P 1'
_space_group_IT_number 1
_cell_length_a 6.973
_cell_length_b 6.973
_cell_length_c 6.973
_cell_angle_alpha 90.00
_cell_angle_beta 90.00
_cell_angle_gamma 90.00
loop_
_space_group_symop_operation_xyz
'x,y,z'
loop_
_atom_site_label
_atom_site_type_symbol
_atom_site_fract_x
_atom_site_fract_y
_atom_site_fract_z
Y1 Y 0.000 0.000 0.000
Y2 Y 0.000 0.500 0.500
Y3 Y 0.250 0.250 0.250
Y4 Y 0.250 0.750 0.750
Y5 Y 0.500 0.000 0.500
Y6 Y 0.500 0.500 0.000
Y7 Y 0.750 0.250 0.750
Y8 Y 0.750 0.750 0.250
Zn1 Zn 0.000 0.000 0.500
Zn2 Zn 0.000 0.500 0.000
Zn3 Zn 0.500 0.000 0.000
Zn4 Zn 0.500 0.500 0.500
W1 W 0.250 0.250 0.750
W2 W 0.250 0.750 0.250
W3 W 0.750 0.250 0.250
W4 W 0.750 0.750 0.750
```

Calculated values
ΔE_f = 507 meV/atom
VASP energy = -6.28 eV/atom
N(E_F) = 12.984 states/eV per cell
symmetry = F-43m, No. 216

---

# 14
Density functional theory data (GGA-PBE) for crystalline Y2ZnW at its relaxed geometry.

The structure in CIF format:
```
data_Y2ZnW
_chemical_formula_sum 'Y4 Zn2 W2'
_space_group_name_H-M_alt 'P 1'
_space_group_IT_number 1
_cell_length_a 4.350
_cell_length_b 4.350
_cell_length_c 9.194
_cell_angle_alpha 90.00
_cell_angle_beta 90.00
_cell_angle_gamma 90.00
loop_
_space_group_symop_operation_xyz
'x,y,z'
loop_
_atom_site_label
_atom_site_type_symbol
_atom_site_fract_x
_atom_site_fract_y
_atom_site_fract_z
Y1 Y 0.000 0.000 0.000
Y2 Y 0.000 0.500 0.250
Y3 Y 0.500 0.000 0.750
Y4 Y 0.500 0.500 0.500
Zn1 Zn 0.000 0.500 0.750
Zn2 Zn 0.500 0.000 0.250
W1 W 0.000 0.000 0.500
W2 W 0.500 0.500 0.000
```

Calculated values
ΔE_f = 353 meV/atom
VASP energy = -6.44 eV/atom
N(E_F) = 5.865 states/eV per cell
symmetry = I-4m2, No. 119